Entry from the Alexandria database: a geometry-optimized PmSmNi10 structure (PBE).

## Properties
Energy of formation: -0.29 eV per atom
Magnetic moment: 2.85 μB/cell

Cell: 3.9615 4.9413 8.5477 Å, 90.00 90.00 90.00°
Last column: nearest neighbours and their distance in Å.
Fractional positions:
Pm 0.0000 0.0000 0.0000  18 Ni 2.85-3.17
Sm 0.0000 0.5000 0.5000  18 Ni 2.84-3.17
Ni 0.0000 0.0000 0.3338  6 Ni 2.44
Ni 0.0000 0.0000 0.6662  6 Ni 2.44
Ni 0.0000 0.5000 0.1672  6 Ni 2.44
Ni 0.0000 0.5000 0.8328  6 Ni 2.44
Ni 0.5000 0.0000 0.5000  8 Ni 2.44-2.46
Ni 0.5000 0.2503 0.2506  8 Ni 2.44-2.47
Ni 0.5000 0.2503 0.7494  8 Ni 2.44-2.47
Ni 0.5000 0.5000 0.0000  8 Ni 2.44-2.47
Ni 0.5000 0.7497 0.2506  8 Ni 2.44-2.47
Ni 0.5000 0.7497 0.7494  8 Ni 2.44-2.47

Entry from the Alexandria database: a geometry-optimized TmSbAu2 structure (PBE).

## Properties
DFT total energy: -4.3340 eV per atom
Magnetic moment: 0.00 μB/cell

Cell: 4.4682 4.4682 16.2869 Å, 90.00 90.00 120.00°
Last column: nearest neighbours and their distance in Å.
Fractional positions:
Tm 0.0000 0.0000 0.0000  6 Au 2.98
Tm 0.3333 0.6667 0.6667  6 Au 2.98
Tm 0.6667 0.3333 0.3333  6 Au 2.98
Sb 0.0000 0.0000 0.5000  6 Au 2.85
Sb 0.3333 0.6667 0.1667  6 Au 2.85
Sb 0.6667 0.3333 0.8333  6 Au 2.85
Au 0.0000 0.0000 0.2416  3 Sb 2.85, 3 Tm 2.98
Au 0.0000 0.0000 0.7584  3 Sb 2.85, 3 Tm 2.98
Au 0.3333 0.6667 0.4251  3 Sb 2.85, 3 Tm 2.98
Au 0.3333 0.6667 0.9082  3 Sb 2.85, 3 Tm 2.98
Au 0.6667 0.3333 0.0918  3 Sb 2.85, 3 Tm 2.98
Au 0.6667 0.3333 0.5749  3 Sb 2.85, 3 Tm 2.98

Entry from the Alexandria database: a geometry-optimized K2UCr2Te6 structure (PBE).

## Properties
DFT total energy: -5.2880 eV per atom
Magnetic moment: 8.00 μB/cell

Cell: 7.1257 7.1257 8.7775 Å, 97.08 97.08 120.44°
Last column: nearest neighbours and their distance in Å.
Fractional positions:
K 0.1590 0.8410 0.0000  6 Te 3.51-3.59
K 0.8410 0.1590 0.0000  6 Te 3.51-3.59
U 0.0000 0.0000 0.5000  6 Te 3.02-3.04
Cr 0.3331 0.6669 0.5000  6 Te 2.79-2.80
Cr 0.6669 0.3331 0.5000  6 Te 2.79-2.80
Te 0.0588 0.4174 0.6902  2 Cr 2.79-2.80, 1 U 3.02
Te 0.3032 0.3032 0.3084  2 Cr 2.80, 1 U 3.04
Te 0.4174 0.0588 0.6902  2 Cr 2.79-2.80, 1 U 3.02
Te 0.5826 0.9412 0.3098  2 Cr 2.79-2.80, 1 U 3.02
Te 0.6968 0.6968 0.6916  2 Cr 2.80, 1 U 3.04
Te 0.9412 0.5826 0.3098  2 Cr 2.79-2.80, 1 U 3.02

Entry from the Alexandria database: a geometry-optimized SbMo2I2 structure (PBE).

## Properties
DFT total energy: -4.9800 eV per atom
Magnetic moment: 0.00 μB/cell

Cell: 7.0169 7.0169 5.0261 Å, 90.00 90.00 90.00°
Last column: nearest neighbours and their distance in Å.
Fractional positions:
Sb 0.0000 0.0000 0.0000  4 Mo 2.81
Sb 0.5000 0.5000 0.0000  4 Mo 2.81
Mo 0.1161 0.3839 0.0000  1 Mo 2.30
Mo 0.3839 0.8839 0.0000  1 Mo 2.30
Mo 0.6161 0.1161 0.0000  1 Mo 2.30
Mo 0.8839 0.6161 0.0000  1 Mo 2.30
I 0.1788 0.6788 0.5000  6 Mo 3.23-3.29, 1 I 3.55, 4 Sb 3.60
I 0.3212 0.1788 0.5000  6 Mo 3.23-3.29, 1 I 3.55, 4 Sb 3.60
I 0.6788 0.8212 0.5000  6 Mo 3.23-3.29, 1 I 3.55, 4 Sb 3.60
I 0.8212 0.3212 0.5000  6 Mo 3.23-3.29, 1 I 3.55, 4 Sb 3.60

Entry from the Alexandria database: a geometry-optimized Pu2Si4RuPt3 structure (PBE).

## Properties
DFT total energy: -8.6506 eV per atom
Magnetic moment: 10.51 μB/cell

Cell: 4.1701 4.1701 9.9607 Å, 90.00 90.00 90.00°
Last column: nearest neighbours and their distance in Å.
Fractional positions:
Pu 0.0000 0.5000 0.2456  6 Pt 3.18-3.28, 8 Si 3.20-3.21, 2 Ru 3.28
Pu 0.5000 0.0000 0.7544  6 Pt 3.18-3.28, 8 Si 3.20-3.21, 2 Ru 3.28
Si 0.0000 0.0000 0.0000  4 Pt 2.44
Si 0.0000 0.5000 0.6300  3 Pt 2.43-2.45, 2 Ru 2.45
Si 0.5000 0.0000 0.3700  3 Pt 2.43-2.45, 2 Ru 2.45
Si 0.5000 0.5000 0.0000  4 Pt 2.44
Ru 0.0000 0.0000 0.5000  4 Si 2.45
Pt 0.0000 0.5000 0.8737  5 Si 2.43-2.44
Pt 0.5000 0.0000 0.1263  5 Si 2.43-2.44
Pt 0.5000 0.5000 0.5000  4 Si 2.45

Entry from the Alexandria database: a geometry-optimized ReAsSe2Br structure (PBE).

## Properties
DFT total energy: -3.7863 eV per atom
Magnetic moment: 5.04 μB/cell

Cell: 4.9466 4.9466 4.8744 Å, 90.00 90.00 90.00°
Last column: nearest neighbours and their distance in Å.
Fractional positions:
Re 0.0000 0.0000 0.0000  8 Se 3.47, 4 Br 3.50
As 0.5000 0.5000 0.5000  2 Br 2.44, 4 Se 2.47
Se 0.0000 0.5000 0.5000  2 As 2.47
Se 0.5000 0.0000 0.5000  2 As 2.47
Br 0.5000 0.5000 0.0000  2 As 2.44